# 1
K2PaPO8 (PBE, relaxed); raw total energy = -6.204 eV per atom; space-group type = No. 164; formation energy from raw total energies = -142.2 kJ per mole of atoms
1.0
-2.6018 -4.7394 -3.0980
2.7849 -1.0152 5.4811
-4.8918 0.9462 2.6608
P O K Pa
1 8 2 1
direct
0.0000 0.0000 0.0000 P
0.8735 0.1265 0.8143 O
0.1265 0.2531 0.1857 O
0.7469 0.8735 0.1857 O
0.1265 0.8735 0.1857 O
0.2531 0.1265 0.8143 O
0.8735 0.7469 0.8143 O
0.6667 0.3333 0.5020 O
0.3333 0.6667 0.4980 O
0.3333 0.6667 0.9416 K
0.6667 0.3333 0.0584 K
0.0000 0.0000 0.5000 Pa

***

# 2
ReRhCl2 (PBE, relaxed); raw total energy = -5.147 eV per atom; space-group type = No. 10; ΔE to the lowest computed polymorph = 756 meV/atom; formation energy from raw total energies = 70.1 kJ per mole of atoms
1.0
-0.0327 2.9240 -2.9901
-0.0946 -2.0796 -2.0326
-5.1759 0.4164 0.4637
Rh Cl Re
1 2 1
direct
0.5000 0.7500 0.7500 Rh
0.0000 0.4423 0.4960 Cl
0.0000 0.0577 0.0040 Cl
0.5000 0.2500 0.2500 Re